Record 1
Crystalline Tb3Sc13 at its relaxed geometry, computed with PBE.

Properties
Spin magnetization   0.0000 μB/atom
Uncorrected energy   -191.85 eV for the cell shown
Calculated formation energy   17 meV/atom

CIF file:
```
data_Tb3Sc13
_cell_length_a 6.757
_cell_length_b 10.499
_cell_length_c 11.669
_cell_angle_alpha 90.00
_cell_angle_beta 90.00
_cell_angle_gamma 90.00
_symmetry_space_group_name_H-M 'A m m 2'
_symmetry_Int_Tables_number 38
_symmetry_space_group_name_Hall 'A 2 -2'
loop_
_atom_site_label
_atom_site_type_symbol
_atom_site_fract_x
_atom_site_fract_y
_atom_site_fract_z
Tb1 Tb 0.000 0.000 0.000
Tb2 Tb 0.254 0.000 0.256
Sc1 Sc 0.000 0.000 0.507
Sc2 Sc 0.000 0.247 0.834
Sc3 Sc 0.251 0.000 0.750
Sc4 Sc 0.252 0.245 0.585
Sc5 Sc 0.500 0.000 0.507
Sc6 Sc 0.500 0.000 0.999
Sc7 Sc 0.500 0.242 0.836
```

***

Record 2
Crystalline Tb2Sc3 at its relaxed geometry, computed with PBE.

Properties
Spin magnetization   0.0000 μB/atom
Energy above the most stable polymorph in this dataset   87.0 meV/atom
Uncorrected energy   -221.61 eV for the cell shown
Calculated formation energy   111 meV/atom

CIF file:
```
data_Tb2Sc3
_cell_length_a 11.119
_cell_length_b 29.751
_cell_length_c 3.298
_cell_angle_alpha 90.00
_cell_angle_beta 90.00
_cell_angle_gamma 90.00
_symmetry_space_group_name_H-M 'F d d 2'
_symmetry_Int_Tables_number 43
_symmetry_space_group_name_Hall 'F 2 -2d'
loop_
_atom_site_label
_atom_site_type_symbol
_atom_site_fract_x
_atom_site_fract_y
_atom_site_fract_z
Tb1 Tb 0.019 0.198 0.000
Sc1 Sc 0.000 0.000 0.169
Sc2 Sc 0.035 0.098 0.618
```

***

Record 3
Crystalline Tb2Sc3 at its relaxed geometry, computed with PBE.

Properties
Spin magnetization   0.0000 μB/atom
Energy above the most stable polymorph in this dataset   0.0 meV/atom
Uncorrected energy   -112.55 eV for the cell shown
Calculated formation energy   24 meV/atom

CIF file:
```
data_Tb2Sc3
_cell_length_a 11.265
_cell_length_b 5.940
_cell_length_c 8.737
_cell_angle_alpha 90.00
_cell_angle_beta 110.01
_cell_angle_gamma 90.00
_symmetry_space_group_name_H-M 'C 1 2/c 1'
_symmetry_Int_Tables_number 15
_symmetry_space_group_name_Hall '-C 2yc'
loop_
_atom_site_label
_atom_site_type_symbol
_atom_site_fract_x
_atom_site_fract_y
_atom_site_fract_z
Tb1 Tb 0.098 0.172 0.449
Sc1 Sc 0.000 0.337 0.750
Sc2 Sc 0.206 0.331 0.151
```

***

Record 4
Crystalline Tb3Sc8 at its relaxed geometry, computed with PBE.

Properties
Spin magnetization   0.0003 μB/atom
Uncorrected energy   -173.80 eV for the cell shown
Calculated formation energy   601 meV/atom

CIF file:
```
data_Tb3Sc8
_cell_length_a 10.0304
_cell_length_b 10.0304
_cell_length_c 10.8836
_cell_angle_alpha 90.00
_cell_angle_beta 90.00
_cell_angle_gamma 120.00
_symmetry_space_group_name_H-M 'R -3'
_symmetry_Int_Tables_number 148
_symmetry_space_group_name_Hall '-R 3'
loop_
_atom_site_label
_atom_site_type_symbol
_atom_site_fract_x
_atom_site_fract_y
_atom_site_fract_z
Tb1 Tb 0.0000 0.5000 0.0000
Sc1 Sc 0.0000 0.0000 0.3507
Sc2 Sc 0.0262 0.8321 0.8879
```

***

Record 5
Crystalline Tb13Sc3 at its relaxed geometry, computed with PBE.

Properties
Spin magnetization   0.0000 μB/atom
Uncorrected energy   -157.48 eV for the cell shown
Calculated formation energy   28 meV/atom

CIF file:
```
data_Tb13Sc3
_cell_length_a 7.169
_cell_length_b 11.149
_cell_length_c 12.372
_cell_angle_alpha 90.00
_cell_angle_beta 90.00
_cell_angle_gamma 90.00
_symmetry_space_group_name_H-M 'A m m 2'
_symmetry_Int_Tables_number 38
_symmetry_space_group_name_Hall 'A 2 -2'
loop_
_atom_site_label
_atom_site_type_symbol
_atom_site_fract_x
_atom_site_fract_y
_atom_site_fract_z
Tb1 Tb 0.000 0.000 0.000
Tb2 Tb 0.000 0.000 0.504
Tb3 Tb 0.000 0.242 0.672
Tb4 Tb 0.251 0.000 0.250
Tb5 Tb 0.253 0.245 0.919
Tb6 Tb 0.500 0.000 0.504
Tb7 Tb 0.500 0.247 0.669
Sc1 Sc 0.253 0.000 0.756
Sc2 Sc 0.500 0.000 0.997
```

***

Record 6
Crystalline TbSc8 at its relaxed geometry, computed with PBE.

Properties
Spin magnetization   0.0000 μB/atom
Uncorrected energy   -109.63 eV for the cell shown
Calculated formation energy   52 meV/atom

CIF file:
```
data_TbSc8
_cell_length_a 9.879
_cell_length_b 9.879
_cell_length_c 4.648
_cell_angle_alpha 90.00
_cell_angle_beta 90.00
_cell_angle_gamma 90.00
_symmetry_space_group_name_H-M 'I 4/m m m'
_symmetry_Int_Tables_number 139
_symmetry_space_group_name_Hall '-I 4 2'
loop_
_atom_site_label
_atom_site_type_symbol
_atom_site_fract_x
_atom_site_fract_y
_atom_site_fract_z
Tb1 Tb 0.000 0.000 0.000
Sc1 Sc 0.000 0.336 0.000
Sc2 Sc 0.169 0.169 0.500
```

***

Record 7
Crystalline Tb3Sc2 at its relaxed geometry, computed with PBE.

Properties
Spin magnetization   0.0000 μB/atom
Energy above the most stable polymorph in this dataset   0.0 meV/atom
Uncorrected energy   -105.70 eV for the cell shown
Calculated formation energy   26 meV/atom

CIF file:
```
data_Tb3Sc2
_cell_length_a 11.482
_cell_length_b 6.061
_cell_length_c 8.895
_cell_angle_alpha 90.00
_cell_angle_beta 110.14
_cell_angle_gamma 90.00
_symmetry_space_group_name_H-M 'C 1 2/c 1'
_symmetry_Int_Tables_number 15
_symmetry_space_group_name_Hall '-C 2yc'
loop_
_atom_site_label
_atom_site_type_symbol
_atom_site_fract_x
_atom_site_fract_y
_atom_site_fract_z
Tb1 Tb 0.000 0.177 0.250
Tb2 Tb 0.194 0.168 0.649
Sc1 Sc 0.102 0.336 0.951
```

***

Record 8
Crystalline Tb7Sc5 at its relaxed geometry, computed with PBE.

Properties
Spin magnetization   0.0001 μB/atom
Energy above the most stable polymorph in this dataset   118.2 meV/atom
Uncorrected energy   -124.07 eV for the cell shown
Calculated formation energy   170 meV/atom

CIF file:
```
data_Tb7Sc5
_cell_length_a 9.380
_cell_length_b 5.424
_cell_length_c 14.169
_cell_angle_alpha 90.00
_cell_angle_beta 102.75
_cell_angle_gamma 90.00
_symmetry_space_group_name_H-M 'C 1 2/m 1'
_symmetry_Int_Tables_number 12
_symmetry_space_group_name_Hall '-C 2y'
loop_
_atom_site_label
_atom_site_type_symbol
_atom_site_fract_x
_atom_site_fract_y
_atom_site_fract_z
Tb1 Tb 0.000 0.000 0.000
Tb2 Tb 0.069 0.500 0.712
Tb3 Tb 0.192 0.000 0.576
Tb4 Tb 0.224 0.500 0.170
Sc1 Sc 0.000 0.500 0.500
Sc2 Sc 0.105 0.000 0.310
Sc3 Sc 0.148 0.500 0.944
```

***

Record 9
Crystalline Tb7Sc5 at its relaxed geometry, computed with PBE.

Properties
Spin magnetization   0.0000 μB/atom
Energy above the most stable polymorph in this dataset   0.0 meV/atom
Uncorrected energy   -126.91 eV for the cell shown
Calculated formation energy   51 meV/atom

CIF file:
```
data_Tb7Sc5
_cell_length_a 14.554
_cell_length_b 4.854
_cell_length_c 10.880
_cell_angle_alpha 90.00
_cell_angle_beta 116.49
_cell_angle_gamma 90.00
_symmetry_space_group_name_H-M 'C 1 m 1'
_symmetry_Int_Tables_number 8
_symmetry_space_group_name_Hall 'C -2y'
loop_
_atom_site_label
_atom_site_type_symbol
_atom_site_fract_x
_atom_site_fract_y
_atom_site_fract_z
Tb1 Tb 0.000 0.000 0.000
Tb2 Tb 0.002 0.500 0.493
Tb3 Tb 0.092 0.000 0.755
Tb4 Tb 0.166 0.000 0.491
Tb5 Tb 0.250 0.000 0.239
Tb6 Tb 0.334 0.500 0.495
Tb7 Tb 0.417 0.000 0.751
Sc1 Sc 0.079 0.500 0.239
Sc2 Sc 0.173 0.500 0.000
Sc3 Sc 0.253 0.500 0.754
Sc4 Sc 0.335 0.000 0.000
Sc5 Sc 0.417 0.500 0.241
```

***

Record 10
Crystalline Tb8Sc at its relaxed geometry, computed with PBE.

Properties
Spin magnetization   0.0000 μB/atom
Uncorrected energy   -86.24 eV for the cell shown
Calculated formation energy   28 meV/atom

CIF file:
```
data_Tb8Sc
_cell_length_a 10.594
_cell_length_b 10.594
_cell_length_c 4.978
_cell_angle_alpha 90.00
_cell_angle_beta 90.00
_cell_angle_gamma 90.00
_symmetry_space_group_name_H-M 'I 4/m m m'
_symmetry_Int_Tables_number 139
_symmetry_space_group_name_Hall '-I 4 2'
loop_
_atom_site_label
_atom_site_type_symbol
_atom_site_fract_x
_atom_site_fract_y
_atom_site_fract_z
Tb1 Tb 0.000 0.331 0.000
Tb2 Tb 0.165 0.165 0.500
Sc1 Sc 0.000 0.000 0.000
```

***

Record 11
Crystalline Tb5Sc6 at its relaxed geometry, computed with PBE.

Properties
Spin magnetization   0.0000 μB/atom
Uncorrected energy   -118.82 eV for the cell shown
Calculated formation energy   158 meV/atom

CIF file:
```
data_Tb5Sc6
_cell_length_a 8.468
_cell_length_b 12.718
_cell_length_c 6.097
_cell_angle_alpha 90.00
_cell_angle_beta 107.93
_cell_angle_gamma 90.00
_symmetry_space_group_name_H-M 'C 1 2/m 1'
_symmetry_Int_Tables_number 12
_symmetry_space_group_name_Hall '-C 2y'
loop_
_atom_site_label
_atom_site_type_symbol
_atom_site_fract_x
_atom_site_fract_y
_atom_site_fract_z
Tb1 Tb 0.000 0.000 0.000
Tb2 Tb 0.000 0.136 0.500
Tb3 Tb 0.000 0.264 0.000
Sc1 Sc 0.154 0.500 0.196
Sc2 Sc 0.171 0.378 0.673
```

***

Record 12
Crystalline Tb6Sc at its relaxed geometry, computed with PBE.

Properties
Spin magnetization   0.0001 μB/atom
Uncorrected energy   -63.93 eV for the cell shown
Calculated formation energy   307 meV/atom

CIF file:
```
data_Tb6Sc
_cell_length_a 6.374
_cell_length_b 6.374
_cell_length_c 11.101
_cell_angle_alpha 90.00
_cell_angle_beta 90.00
_cell_angle_gamma 90.00
_symmetry_space_group_name_H-M 'P 4/n b m'
_symmetry_Int_Tables_number 125
loop_
_symmetry_equiv_pos_as_xyz
'x,y,z'
'-x,-y,-z'
'-y+1/2,x,z'
'y+1/2,-x,-z'
'-x+1/2,-y+1/2,z'
'x+1/2,y+1/2,-z'
'y,-x+1/2,z'
'-y,x+1/2,-z'
'x,-y+1/2,-z'
'-x,y+1/2,z'
'-y+1/2,-x+1/2,-z'
'y+1/2,x+1/2,z'
'-x+1/2,y,-z'
'x+1/2,-y,z'
'y,x,-z'
'-y,-x,z'
loop_
_atom_site_label
_atom_site_type_symbol
_atom_site_fract_x
_atom_site_fract_y
_atom_site_fract_z
Tb1 Tb 0.081 0.581 0.138
Tb2 Tb 0.250 0.250 0.364
Sc1 Sc 0.250 0.750 0.500
```

***

Q: What is the spin magnetization in the tenth record?
A: 0.0000 μB/atom

***

Q: Number 6 is which compound?
A: TbSc8

***

Q: calculated formation energy of number 6 (TbSc8)?
A: 52 meV/atom